No. 1
{"formula": "Tb2Nd2ErTm2", "functional": "PBE", "state": "optimized geometry", "lattice_angstrom": [[3.510, 0.000, 0.000], [-1.755, 5.548, 1.827], [0.000, 0.249, 11.813]], "species": ["Tb", "Tb", "Nd", "Nd", "Er", "Tm", "Tm"], "fractional_positions": [[0.450, 0.899, 0.768], [0.550, 0.101, 0.232], [0.670, 0.340, 0.915], [0.330, 0.660, 0.085], [0.000, 0.000, 0.500], [0.773, 0.547, 0.365], [0.227, 0.453, 0.635]], "spacegroup": "C2/m", "final_energy_ev_per_atom": -4.53}

No. 2
{"formula": "Tb2Nd6ErTm3", "functional": "PBE", "state": "optimized geometry", "lattice_angstrom": [[-2.324, -0.305, -5.796], [-3.752, -0.885, 4.922], [-0.255, 11.776, 0.603]], "species": ["Tb", "Tb", "Nd", "Nd", "Nd", "Nd", "Nd", "Nd", "Er", "Tm", "Tm", "Tm"], "fractional_positions": [[0.333, 0.667, 0.000], [0.667, 0.333, 0.000], [0.916, 0.583, 0.748], [0.751, 0.751, 0.252], [0.084, 0.417, 0.252], [0.583, 0.916, 0.748], [0.249, 0.249, 0.748], [0.417, 0.084, 0.252], [0.000, 0.000, 0.000], [0.167, 0.833, 0.500], [0.833, 0.167, 0.500], [0.500, 0.500, 0.500]], "spacegroup": "C2/m", "final_energy_ev_per_atom": -4.64}

No. 3
{"formula": "Tb2NdEr5Tm", "functional": "PBE", "state": "optimized geometry", "lattice_angstrom": [[-6.068, 3.136, 5.670], [-5.905, 0.522, -6.607], [3.790, -8.654, 1.893]], "species": ["Tb", "Tb", "Tb", "Tb", "Nd", "Nd", "Er", "Er", "Er", "Er", "Er", "Er", "Er", "Er", "Er", "Er", "Tm", "Tm"], "fractional_positions": [[0.113, 0.387, 0.000], [0.613, 0.113, 0.000], [0.387, 0.887, 0.000], [0.887, 0.613, 0.000], [0.250, 0.250, 0.500], [0.750, 0.750, 0.500], [0.927, 0.427, 0.265], [0.661, 0.161, 0.735], [0.073, 0.573, 0.735], [0.161, 0.073, 0.735], [0.573, 0.661, 0.735], [0.839, 0.927, 0.265], [0.427, 0.339, 0.265], [0.339, 0.839, 0.265], [0.500, 0.500, 0.000], [0.000, 0.000, 0.000], [0.250, 0.750, 0.500], [0.750, 0.250, 0.500]], "spacegroup": "I4/mcm", "final_energy_ev_per_atom": -4.30}

No. 4
{"formula": "Tb6Nd2Er3Tm", "functional": "PBE", "state": "optimized geometry", "lattice_angstrom": [[6.163, 0.001, 0.008], [-3.079, 5.339, 0.008], [-1.037, -1.796, 11.620]], "species": ["Tb", "Tb", "Tb", "Tb", "Tb", "Tb", "Nd", "Nd", "Er", "Er", "Er", "Tm"], "fractional_positions": [[0.915, 0.583, 0.747], [0.752, 0.752, 0.253], [0.085, 0.417, 0.253], [0.583, 0.915, 0.747], [0.248, 0.248, 0.747], [0.417, 0.085, 0.253], [0.333, 0.667, 0.000], [0.667, 0.333, 0.000], [0.166, 0.834, 0.500], [0.834, 0.166, 0.500], [0.500, 0.500, 0.500], [0.000, 0.000, 0.000]], "spacegroup": "C2/m", "final_energy_ev_per_atom": -4.61}

No. 5
{"formula": "TbNd2ErTm2", "functional": "PBE", "state": "optimized geometry", "lattice_angstrom": [[5.637, 0.000, 0.000], [0.000, 6.994, 0.000], [0.000, 0.000, 9.748]], "species": ["Tb", "Tb", "Nd", "Nd", "Nd", "Nd", "Er", "Er", "Tm", "Tm", "Tm", "Tm"], "fractional_positions": [[0.500, 0.257, 0.658], [0.500, 0.757, 0.342], [0.500, 0.008, 0.000], [0.000, 0.258, 0.178], [0.500, 0.508, 0.000], [0.000, 0.758, 0.822], [0.000, 0.007, 0.500], [0.000, 0.507, 0.500], [0.000, 0.258, 0.836], [0.500, 0.257, 0.332], [0.000, 0.758, 0.164], [0.500, 0.757, 0.668]], "spacegroup": "Pmma", "final_energy_ev_per_atom": -4.54}

No. 6
{"formula": "Tb3Nd2ErTm6", "functional": "PBE", "state": "optimized geometry", "lattice_angstrom": [[6.133, 0.001, 0.005], [-3.064, 5.312, 0.005], [-1.028, -1.780, 11.499]], "species": ["Tb", "Tb", "Tb", "Nd", "Nd", "Er", "Tm", "Tm", "Tm", "Tm", "Tm", "Tm"], "fractional_positions": [[0.167, 0.833, 0.500], [0.833, 0.167, 0.500], [0.500, 0.500, 0.500], [0.333, 0.667, 0.000], [0.667, 0.333, 0.000], [0.000, 0.000, 0.000], [0.916, 0.583, 0.748], [0.752, 0.752, 0.252], [0.084, 0.417, 0.252], [0.583, 0.916, 0.748], [0.248, 0.248, 0.748], [0.417, 0.084, 0.252]], "spacegroup": "C2/m", "final_energy_ev_per_atom": -4.55}